# 1
PrThTe PBE relaxed; energy above the most stable polymorph in this dataset = 366 meV/atom; DOS at the Fermi energy = 1.148 states/eV/atom; space group = P3m1, No. 156; ΔE_f (raw) = -30 kJ per mole of atoms; crystal system = trigonal
1.0
5.468 0.000 0.000
-2.734 4.735 0.000
0.000 0.000 3.870
Pr Th Te
1 1 1
Direct
0.000 0.000 0.000
0.333 0.667 0.500
0.667 0.333 0.502

---

# 2
AcPr4S6 PBE relaxed; DOS at the Fermi energy = 0.291 states/eV/atom; space group = Cmcm, No. 63; ΔE_f (raw) = -199 kJ per mole of atoms; crystal system = orthorhombic
1.0
2.046 -6.767 0.000
2.046 6.767 0.000
0.000 0.000 20.705
Ac Pr S
2 8 12
Direct
0.158 0.842 0.750
0.842 0.158 0.250
0.093 0.907 0.127
0.093 0.907 0.373
0.361 0.639 0.040
0.361 0.639 0.460
0.639 0.361 0.540
0.639 0.361 0.960
0.907 0.093 0.627
0.907 0.093 0.873
0.000 0.000 0.000
0.000 0.000 0.500
0.185 0.815 0.250
0.267 0.733 0.591
0.267 0.733 0.909
0.452 0.548 0.166
0.452 0.548 0.334
0.548 0.452 0.666
0.548 0.452 0.834
0.733 0.267 0.091
0.733 0.267 0.409
0.815 0.185 0.750

---

# 3
ZnAuCl2 PBE relaxed; energy above the most stable polymorph in this dataset = 166 meV/atom; DOS at the Fermi energy = 0.314 states/eV/atom; space group = Cmmm, No. 65; ΔE_f (raw) = -28 kJ per mole of atoms; crystal system = orthorhombic
1.0
1.657 -2.889 0.000
1.657 2.889 0.000
0.000 0.000 10.683
Zn Au Cl
1 1 2
Direct
0.000 0.000 0.000
0.000 0.000 0.500
0.500 0.500 0.153
0.500 0.500 0.847

---

# 4
Zr3Si5Ir6 PBE relaxed; DOS at the Fermi energy = 0.501 states/eV/atom; space group = Pmmn, No. 59; ΔE_f (raw) = -89 kJ per mole of atoms; crystal system = orthorhombic
1.0
3.954 0.000 0.000
0.000 12.211 0.000
0.000 0.000 9.217
Zr Si Ir
6 10 12
Direct
0.250 0.085 0.244
0.250 0.415 0.244
0.250 0.750 0.260
0.750 0.250 0.740
0.750 0.585 0.756
0.750 0.915 0.756
0.250 0.081 0.846
0.250 0.419 0.846
0.250 0.636 0.535
0.250 0.750 0.853
0.250 0.864 0.535
0.750 0.136 0.465
0.750 0.250 0.147
0.750 0.364 0.465
0.750 0.581 0.154
0.750 0.919 0.154
0.250 0.052 0.595
0.250 0.250 0.475
0.250 0.250 0.990
0.250 0.448 0.595
0.250 0.584 0.006
0.250 0.916 0.006
0.750 0.084 0.994
0.750 0.416 0.994
0.750 0.552 0.405
0.750 0.750 0.010
0.750 0.750 0.525
0.750 0.948 0.405

---

Number 1: raw total energy -16.27 eV for the cell shown. Number 2: raw total energy -141.34 eV for the cell shown. Number 3: raw total energy -9.40 eV for the cell shown. Number 4: raw total energy -237.73 eV for the cell shown.